No. 1
# SmBH PBE optimized geometry
data_SmBH
_chemical_formula_sum 'Sm6 B6 H6'
_symmetry_space_group_name_H-M 'R -3 m'
_symmetry_Int_Tables_number 166
_symmetry_space_group_name_Hall '-R 3 2"'
_cell_length_a 3.4647
_cell_length_b 3.4647
_cell_length_c 21.9345
_cell_angle_alpha 90.00
_cell_angle_beta 90.00
_cell_angle_gamma 120.00
loop_
_atom_site_label
_atom_site_fract_x
_atom_site_fract_y
_atom_site_fract_z
Sm1 0.0000 0.0000 0.0883
B1 0.0000 0.0000 0.3327
H1 0.0000 0.0000 0.1952
# calculated total energy	-0.394	Ry per atom
# total magnetic moment	1.4	μB/cell
# calculated volume	228.1	Å³ per cell

No. 2
# SnBH PBE optimized geometry
data_SnBH
_chemical_formula_sum 'Sn2 B2 H2'
_symmetry_space_group_name_H-M 'P 1'
_symmetry_Int_Tables_number 1
_cell_length_a 3.740
_cell_length_b 3.755
_cell_length_c 6.483
_cell_angle_alpha 85.09
_cell_angle_beta 86.55
_cell_angle_gamma 70.91
loop_
_symmetry_equiv_pos_as_xyz
'x,y,z'
loop_
_atom_site_label
_atom_site_fract_x
_atom_site_fract_y
_atom_site_fract_z
Sn1 0.000 0.000 0.000
Sn2 0.011 0.894 0.455
B1 0.361 0.235 0.569
B2 0.407 0.287 0.822
H1 0.497 0.391 0.420
H2 0.499 0.561 0.863
# calculated total energy	-0.315	Ry per atom
# total magnetic moment	0.0	μB/cell
# calculated volume	85.7	Å³ per cell